Computed, not measured: a relaxed BeHgSe2 crystal at the PBE-GGA level of DFT. Values from VASP.

Values from the calculation:
- energy above the lowest structure with this stoichiometry (meV/atom) = 439
- DOS(E_F) (states/eV/atom) = 0.35
- space group = No. 63
- formation energy without anion corrections (eV per atom) = -0.031

Geometry as Quantum ESPRESSO input:
```
&SYSTEM
  ibrav = 0, nat = 8, ntyp = 3
/
ATOMIC_SPECIES
Se 78.96 Se.upf
Hg 200.59 Hg.upf
Be 9.01 Be.upf
ATOMIC_POSITIONS crystal
Se 0.043 0.957 0.750
Se 0.169 0.831 0.250
Hg 0.676 0.324 0.750
Be 0.064 0.936 0.250
Hg 0.324 0.676 0.250
Se 0.831 0.169 0.750
Se 0.957 0.043 0.250
Be 0.936 0.064 0.750
CELL_PARAMETERS angstrom
-10.021 1.991 -3.323
8.817 -5.650 2.400
-1.501 -0.563 4.191
```